Compound: POs3Pb
Source: Alexandria via LeMat-Bulk
Functional: SCAN
Structure: PBEsol geometry

Output
The total energy comes out at -59.2452 eV/atom. As for the energy relative to the elements: 1.119 eV per atom. The value obtained for the magnetization is 0.00 μB/cell.

```
POs3Pb
1.0
4.411 0.000 0.000
0.000 4.411 0.000
0.000 0.000 4.411
Os Pb P
3 1 1
Cartesian
2.205 0.000 0.000
0.000 2.205 0.000
0.000 0.000 2.205
2.205 2.205 2.205
0.000 0.000 0.000
```